No. 1
A plane-wave DFT calculation with PBE was carried out for a geometry-optimized Co2WAuSe structure.

energy relative to the elements, uncorrected: 6.24 eV per formula unit
E_tot: -5.54 eV/atom

CIF file:
```
data_Co2WAuSe
_cell_length_a 4.568
_cell_length_b 4.568
_cell_length_c 4.736
_cell_angle_alpha 90.00
_cell_angle_beta 90.00
_cell_angle_gamma 90.00
_symmetry_space_group_name_H-M 'P 4/m m m'
_symmetry_Int_Tables_number 123
_symmetry_space_group_name_Hall '-P 4 2'
loop_
_atom_site_label
_atom_site_type_symbol
_atom_site_fract_x
_atom_site_fract_y
_atom_site_fract_z
Co1 Co 0.000 0.500 0.000
W1 W 0.000 0.000 0.000
Au1 Au 0.500 0.500 0.500
Se1 Se 0.000 0.000 0.500
```



No. 2
A plane-wave DFT calculation with PBE was carried out for a geometry-optimized PrNd6Sm2Er structure.

E_tot: -4.63 eV/atom
formation energy from the elements: 0.112 eV per atom

CIF file:
```
data_PrNd6Sm2Er
_cell_length_a 9.307
_cell_length_b 15.424
_cell_length_c 9.810
_cell_angle_alpha 90.00
_cell_angle_beta 97.64
_cell_angle_gamma 90.00
_symmetry_space_group_name_H-M 'C 1 2/c 1'
_symmetry_Int_Tables_number 15
_symmetry_space_group_name_Hall '-C 2yc'
loop_
_atom_site_label
_atom_site_type_symbol
_atom_site_fract_x
_atom_site_fract_y
_atom_site_fract_z
Pr1 Pr 0.000 0.023 0.250
Nd1 Nd 0.064 0.183 0.945
Nd2 Nd 0.099 0.393 0.118
Nd3 Nd 0.211 0.222 0.312
Sm1 Sm 0.250 0.050 0.545
Er1 Er 0.000 0.410 0.750
```



No. 3
A plane-wave DFT calculation with PBE was carried out for a geometry-optimized CuW2N2 structure.

energy relative to the elements, uncorrected: 3.33 eV per formula unit
E_tot: -8.66 eV/atom
E above lowest polymorph: 533.6 meV/atom

CIF file:
```
data_CuW2N2
_cell_length_a 6.395
_cell_length_b 6.395
_cell_length_c 2.730
_cell_angle_alpha 90.00
_cell_angle_beta 90.00
_cell_angle_gamma 90.00
_symmetry_space_group_name_H-M 'P 4/m b m'
_symmetry_Int_Tables_number 127
_symmetry_space_group_name_Hall '-P 4 2ab'
loop_
_atom_site_label
_atom_site_type_symbol
_atom_site_fract_x
_atom_site_fract_y
_atom_site_fract_z
Cu1 Cu 0.000 0.000 0.000
W1 W 0.148 0.352 0.000
N1 N 0.133 0.633 0.500
```



No. 4
A plane-wave DFT calculation with PBE was carried out for a geometry-optimized Ba2Y structure.

E_tot: -3.18 eV/atom
formation energy from the elements: 0.254 eV per atom
E above lowest polymorph: 80.2 meV/atom

CIF file:
```
data_Ba2Y
_cell_length_a 6.5083
_cell_length_b 6.5083
_cell_length_c 3.9316
_cell_angle_alpha 90.00
_cell_angle_beta 90.00
_cell_angle_gamma 120.00
_symmetry_space_group_name_H-M 'P -3 m 1'
_symmetry_Int_Tables_number 164
_symmetry_space_group_name_Hall '-P 3 2"'
loop_
_atom_site_label
_atom_site_type_symbol
_atom_site_fract_x
_atom_site_fract_y
_atom_site_fract_z
Ba1 Ba 0.3333 0.6667 0.1600
Y1 Y 0.0000 0.0000 0.5000
```



No. 5
A plane-wave DFT calculation with PBE was carried out for a geometry-optimized BaSrAc structure.

E_tot: -2.50 eV/atom
formation energy from the elements: 0.066 eV per atom
E above lowest polymorph: 2.0 meV/atom

CIF file:
```
data_BaSrAc
_cell_length_a 4.169
_cell_length_b 7.221
_cell_length_c 11.199
_cell_angle_alpha 108.54
_cell_angle_beta 100.71
_cell_angle_gamma 90.02
_symmetry_space_group_name_H-M 'P -1'
_symmetry_Int_Tables_number 2
_symmetry_space_group_name_Hall '-P 1'
loop_
_atom_site_label
_atom_site_type_symbol
_atom_site_fract_x
_atom_site_fract_y
_atom_site_fract_z
Ba1 Ba 0.086 0.258 0.174
Sr1 Sr 0.410 0.242 0.820
Ac1 Ac 0.251 0.748 0.502
```



No. 6
A plane-wave DFT calculation with PBE was carried out for a geometry-optimized Mg2SbTe structure.

energy relative to the elements, uncorrected: 0.17 eV per formula unit
E_tot: -2.57 eV/atom
E above lowest polymorph: 510.1 meV/atom

CIF file:
```
data_Mg2SbTe
_cell_length_a 7.475
_cell_length_b 7.475
_cell_length_c 7.475
_cell_angle_alpha 90.00
_cell_angle_beta 90.00
_cell_angle_gamma 90.00
_symmetry_space_group_name_H-M 'F -4 3 m'
_symmetry_Int_Tables_number 216
_symmetry_space_group_name_Hall 'F -4 2 3'
loop_
_atom_site_label
_atom_site_type_symbol
_atom_site_fract_x
_atom_site_fract_y
_atom_site_fract_z
Mg1 Mg 0.000 0.000 0.000
Mg2 Mg 0.250 0.250 0.250
Sb1 Sb 0.250 0.250 0.750
Te1 Te 0.000 0.000 0.500
```



No. 7
A plane-wave DFT calculation with PBE was carried out for a geometry-optimized CePm5In3 structure.

E_tot: -4.54 eV/atom
formation energy from the elements: -0.333 eV per atom

CIF file:
```
data_CePm5In3
_cell_length_a 9.5813
_cell_length_b 9.5813
_cell_length_c 6.8391
_cell_angle_alpha 90.00
_cell_angle_beta 90.00
_cell_angle_gamma 120.00
_symmetry_space_group_name_H-M 'P 63/m c m'
_symmetry_Int_Tables_number 193
_symmetry_space_group_name_Hall '-P 6c 2'
loop_
_atom_site_label
_atom_site_type_symbol
_atom_site_fract_x
_atom_site_fract_y
_atom_site_fract_z
Ce1 Ce 0.0000 0.0000 0.0000
Pm1 Pm 0.0000 0.3270 0.2500
Pm2 Pm 0.3333 0.6667 0.0000
In1 In 0.0000 0.3382 0.7500
```



No. 8
A plane-wave DFT calculation with PBE was carried out for a geometry-optimized Hf2AlRh structure.

E_tot: -8.30 eV/atom
formation energy from the elements: -0.547 eV per atom

CIF file:
```
data_Hf2AlRh
_cell_length_a 4.345
_cell_length_b 4.345
_cell_length_c 3.823
_cell_angle_alpha 90.00
_cell_angle_beta 90.00
_cell_angle_gamma 90.00
_symmetry_space_group_name_H-M 'P 4/m m m'
_symmetry_Int_Tables_number 123
_symmetry_space_group_name_Hall '-P 4 2'
loop_
_atom_site_label
_atom_site_type_symbol
_atom_site_fract_x
_atom_site_fract_y
_atom_site_fract_z
Hf1 Hf 0.000 0.500 0.000
Al1 Al 0.000 0.000 0.500
Rh1 Rh 0.500 0.500 0.500
```



No. 9
A plane-wave DFT calculation with PBE was carried out for a geometry-optimized KYCl structure.

energy relative to the elements, uncorrected: -0.52 eV per formula unit
E_tot: -3.31 eV/atom
E above lowest polymorph: 664.1 meV/atom

CIF file:
```
data_KYCl
_cell_length_a 7.238
_cell_length_b 7.238
_cell_length_c 7.238
_cell_angle_alpha 90.00
_cell_angle_beta 90.00
_cell_angle_gamma 90.00
_symmetry_space_group_name_H-M 'F -4 3 m'
_symmetry_Int_Tables_number 216
_symmetry_space_group_name_Hall 'F -4 2 3'
loop_
_atom_site_label
_atom_site_type_symbol
_atom_site_fract_x
_atom_site_fract_y
_atom_site_fract_z
K1 K 0.000 0.000 0.000
Y1 Y 0.000 0.000 0.500
Cl1 Cl 0.250 0.250 0.250
```



No. 10
A plane-wave DFT calculation with PBE was carried out for a geometry-optimized NaEuSnPt structure.

E_tot: -5.93 eV/atom
formation energy from the elements: -0.523 eV per atom

CIF file:
```
data_NaEuSnPt
_cell_length_a 7.087
_cell_length_b 7.087
_cell_length_c 7.087
_cell_angle_alpha 90.00
_cell_angle_beta 90.00
_cell_angle_gamma 90.00
_symmetry_space_group_name_H-M 'F -4 3 m'
_symmetry_Int_Tables_number 216
_symmetry_space_group_name_Hall 'F -4 2 3'
loop_
_atom_site_label
_atom_site_type_symbol
_atom_site_fract_x
_atom_site_fract_y
_atom_site_fract_z
Na1 Na 0.000 0.000 0.000
Eu1 Eu 0.250 0.250 0.750
Sn1 Sn 0.250 0.250 0.250
Pt1 Pt 0.000 0.000 0.500
```



No. 11
A plane-wave DFT calculation with PBE was carried out for a geometry-optimized VRe2Ni structure.

E_tot: -10.05 eV/atom
formation energy from the elements: -0.097 eV per atom

CIF file:
```
data_VRe2Ni
_cell_length_a 3.774
_cell_length_b 3.774
_cell_length_c 3.801
_cell_angle_alpha 90.00
_cell_angle_beta 90.00
_cell_angle_gamma 90.00
_symmetry_space_group_name_H-M 'P 4/m m m'
_symmetry_Int_Tables_number 123
_symmetry_space_group_name_Hall '-P 4 2'
loop_
_atom_site_label
_atom_site_type_symbol
_atom_site_fract_x
_atom_site_fract_y
_atom_site_fract_z
V1 V 0.000 0.000 0.000
Re1 Re 0.000 0.500 0.500
Ni1 Ni 0.500 0.500 0.000
```



No. 12
A plane-wave DFT calculation with PBE was carried out for a geometry-optimized TbPm4Sb5 structure.

energy relative to the elements, uncorrected: -11.79 eV per formula unit
E_tot: -5.60 eV/atom

CIF file:
```
data_TbPm4Sb5
_cell_length_a 4.477
_cell_length_b 6.325
_cell_length_c 22.358
_cell_angle_alpha 90.00
_cell_angle_beta 90.00
_cell_angle_gamma 90.00
_symmetry_space_group_name_H-M 'I m m m'
_symmetry_Int_Tables_number 71
_symmetry_space_group_name_Hall '-I 2 2'
loop_
_atom_site_label
_atom_site_type_symbol
_atom_site_fract_x
_atom_site_fract_y
_atom_site_fract_z
Tb1 Tb 0.000 0.000 0.000
Pm1 Pm 0.000 0.000 0.199
Pm2 Pm 0.000 0.000 0.400
Sb1 Sb 0.000 0.500 0.000
Sb2 Sb 0.000 0.500 0.200
Sb3 Sb 0.000 0.500 0.402
```



No. 13
A plane-wave DFT calculation with PBE was carried out for a geometry-optimized BaTc2Te structure.

energy relative to the elements, uncorrected: 1.89 eV per formula unit
E_tot: -5.98 eV/atom

CIF file:
```
data_BaTc2Te
_cell_length_a 4.046
_cell_length_b 6.282
_cell_length_c 8.592
_cell_angle_alpha 90.00
_cell_angle_beta 90.00
_cell_angle_gamma 90.00
_symmetry_space_group_name_H-M 'I m m 2'
_symmetry_Int_Tables_number 44
_symmetry_space_group_name_Hall 'I 2 -2'
loop_
_atom_site_label
_atom_site_type_symbol
_atom_site_fract_x
_atom_site_fract_y
_atom_site_fract_z
Ba1 Ba 0.000 0.000 0.000
Tc1 Tc 0.000 0.000 0.525
Tc2 Tc 0.000 0.500 0.168
Te1 Te 0.000 0.500 0.812
```



No. 14
A plane-wave DFT calculation with PBE was carried out for a geometry-optimized HfBi2IrCl structure.

energy relative to the elements, uncorrected: 3.80 eV per formula unit
E_tot: -4.92 eV/atom

CIF file:
```
data_HfBi2IrCl
_cell_length_a 5.657
_cell_length_b 5.657
_cell_length_c 4.662
_cell_angle_alpha 90.00
_cell_angle_beta 90.00
_cell_angle_gamma 90.00
_symmetry_space_group_name_H-M 'P 4/m m m'
_symmetry_Int_Tables_number 123
_symmetry_space_group_name_Hall '-P 4 2'
loop_
_atom_site_label
_atom_site_type_symbol
_atom_site_fract_x
_atom_site_fract_y
_atom_site_fract_z
Hf1 Hf 0.000 0.000 0.000
Bi1 Bi 0.000 0.500 0.000
Ir1 Ir 0.500 0.500 0.500
Cl1 Cl 0.000 0.000 0.500
```